1.
{"formula": "Pu4CBr5", "functional": "PBE", "state": "relaxed", "lattice": [[8.9540, -1.9181, 0.0000], [8.9540, 1.9181, 0.0000], [-1.7947, 0.0000, 8.0648]], "species": ["Pu", "Pu", "Pu", "Pu", "C", "Br", "Br", "Br", "Br", "Br"], "fractional_positions": [[0.0017, 0.0017, 0.2946], [0.3567, 0.3567, 0.4319], [0.6433, 0.6433, 0.5681], [0.9983, 0.9983, 0.7054], [0.5000, 0.5000, 0.5000], [0.1651, 0.1651, 0.8435], [0.1732, 0.1732, 0.3137], [0.5000, 0.5000, 0.0000], [0.8268, 0.8268, 0.6863], [0.8349, 0.8349, 0.1565]], "final_energy_ev_per_atom": -8.525}

=====

2.
{"formula": "Ac5CeTl8", "functional": "PBE", "state": "relaxed", "lattice": [[-5.0173, 5.0173, 4.9090], [5.0173, -5.0173, 4.9090], [5.0173, 5.0173, -4.9090]], "species": ["Ac", "Ac", "Ac", "Ac", "Ac", "Ce", "Tl", "Tl", "Tl", "Tl", "Tl", "Tl", "Tl", "Tl"], "fractional_positions": [[0.0000, 0.0000, 0.0000], [0.2565, 0.6128, 0.1240], [0.3872, 0.5112, 0.6437], [0.4888, 0.1325, 0.8760], [0.8675, 0.7435, 0.3563], [0.7500, 0.2500, 0.5000], [0.0990, 0.1941, 0.7233], [0.1069, 0.6937, 0.7383], [0.3063, 0.0446, 0.4132], [0.4709, 0.3757, 0.2767], [0.6243, 0.9010, 0.0951], [0.6314, 0.8931, 0.5868], [0.8059, 0.5291, 0.9049], [0.9554, 0.3686, 0.2617]], "delta_e_f_mev_per_atom": -269.2}

=====

3.
{"formula": "AcGe2IrRh", "functional": "PBE", "state": "relaxed", "lattice": [[-2.1350, 2.1350, 5.4834], [2.1350, -2.1350, 5.4834], [2.1350, 2.1350, -5.4834]], "species": ["Ac", "Ge", "Ge", "Ir", "Rh"], "fractional_positions": [[0.0000, 0.0000, 0.0000], [0.3686, 0.3686, 0.0000], [0.6314, 0.6314, 0.0000], [0.2500, 0.7500, 0.5000], [0.7500, 0.2500, 0.5000]], "delta_e_f_mev_per_atom": -796.2}

=====

4.
{"formula": "K2RbTl2", "functional": "PBE", "state": "relaxed", "lattice": [[7.2026, -2.5196, 0.0000], [7.2026, 2.5196, 0.0000], [-1.7556, 0.0000, 7.1186]], "species": ["K", "K", "Rb", "Tl", "Tl"], "fractional_positions": [[0.1483, 0.1483, 0.0648], [0.8517, 0.8517, 0.9352], [0.5000, 0.5000, 0.5000], [0.2262, 0.2262, 0.6025], [0.7738, 0.7738, 0.3975]], "de_polymorph_mev_per_atom": 5, "delta_e_f_mev_per_atom": -45.7}

=====

5.
{"formula": "La2HgPtO", "functional": "PBE", "state": "relaxed", "lattice": [[5.7912, 0.0000, 0.0000], [0.0000, 5.7912, 0.0000], [0.0000, 0.0000, 3.9553]], "species": ["La", "La", "Hg", "Pt", "O"], "fractional_positions": [[0.0000, 0.5000, 0.0000], [0.5000, 0.0000, 0.0000], [0.0000, 0.0000, 0.5000], [0.5000, 0.5000, 0.0000], [0.5000, 0.5000, 0.5000]], "final_energy_ev_per_atom": -4.775}

=====

6.
{"formula": "ScHgI3", "functional": "PBE", "state": "relaxed", "lattice": [[7.0818, 0.0000, 0.0000], [3.2113, 7.7979, 0.0000], [0.7873, 3.3309, 8.5900]], "species": ["Sc", "Sc", "Hg", "Hg", "I", "I", "I", "I", "I", "I"], "fractional_positions": [[0.1851, 0.2762, 0.1794], [0.8149, 0.7238, 0.8206], [0.3671, 0.9233, 0.8189], [0.6329, 0.0767, 0.1811], [0.1365, 0.9540, 0.2365], [0.2414, 0.4796, 0.8662], [0.2815, 0.3291, 0.4280], [0.7185, 0.6709, 0.5720], [0.7586, 0.5204, 0.1338], [0.8635, 0.0460, 0.7635]], "de_polymorph_mev_per_atom": 89}

=====

7.
{"formula": "Ce4Pu2As3N2", "functional": "PBE", "state": "relaxed", "lattice": [[-2.3058, 2.3058, 12.1245], [2.3058, -2.3058, 12.1245], [2.3058, 2.3058, -12.1245]], "species": ["Ce", "Ce", "Ce", "Ce", "Pu", "Pu", "As", "As", "As", "N", "N"], "fractional_positions": [[0.0833, 0.5833, 0.5000], [0.4167, 0.9167, 0.5000], [0.5833, 0.0833, 0.5000], [0.9167, 0.4167, 0.5000], [0.2002, 0.2002, 0.0000], [0.7998, 0.7998, 0.0000], [0.3251, 0.3251, 0.0000], [0.5000, 0.5000, 0.0000], [0.6749, 0.6749, 0.0000], [0.1050, 0.1050, 0.0000], [0.8950, 0.8950, 0.0000]], "final_energy_ev_per_atom": -8.633}

=====

8.
{"formula": "MoOsPb2Se", "functional": "PBE", "state": "relaxed", "lattice": [[5.4984, 0.0000, 0.0000], [0.0000, 3.6664, 0.0000], [-0.0310, 0.0000, 5.8781]], "species": ["Mo", "Os", "Pb", "Pb", "Se"], "fractional_positions": [[0.0000, 0.0000, 0.0000], [0.7689, 0.5000, 0.8426], [0.4651, 0.5000, 0.2518], [0.9305, 0.0000, 0.4822], [0.4099, 0.0000, 0.8028]], "de_polymorph_mev_per_atom": 57}

=====

9.
{"formula": "Er2MgTl3", "functional": "PBE", "state": "relaxed", "lattice": [[3.5971, 0.0000, 0.0000], [0.0000, 3.5971, 0.0000], [0.0000, 0.0000, 11.9439]], "species": ["Er", "Er", "Mg", "Tl", "Tl", "Tl"], "fractional_positions": [[0.0000, 0.0000, 0.1745], [0.0000, 0.0000, 0.8255], [0.0000, 0.0000, 0.5000], [0.5000, 0.5000, 0.0000], [0.5000, 0.5000, 0.3470], [0.5000, 0.5000, 0.6530]], "delta_e_f_mev_per_atom": -212.3}

=====

10.
{"formula": "Pu3Tl3VS8", "functional": "PBE", "state": "relaxed", "lattice": [[3.9002, 2.2518, 7.5909], [-3.9002, 2.2518, 7.5909], [0.0000, -4.5036, 7.5909]], "species": ["Pu", "Pu", "Pu", "Tl", "Tl", "Tl", "V", "S", "S", "S", "S", "S", "S", "S", "S"], "fractional_positions": [[0.0000, 0.5000, 0.5000], [0.5000, 0.0000, 0.5000], [0.5000, 0.5000, 0.0000], [0.0000, 0.0000, 0.5000], [0.0000, 0.5000, 0.0000], [0.5000, 0.0000, 0.0000], [0.0000, 0.0000, 0.0000], [0.2156, 0.2156, 0.7530], [0.2156, 0.7530, 0.2156], [0.2470, 0.7844, 0.7844], [0.2670, 0.2670, 0.2670], [0.7330, 0.7330, 0.7330], [0.7530, 0.2156, 0.2156], [0.7844, 0.2470, 0.7844], [0.7844, 0.7844, 0.2470]], "final_energy_ev_per_atom": -7.271}

=====

11.
{"formula": "Pb2AuI", "functional": "PBE", "state": "relaxed", "lattice": [[0.0000, 3.8855, 3.8855], [3.8855, 0.0000, 3.8855], [3.8855, 3.8855, 0.0000]], "species": ["Pb", "Pb", "Au", "I"], "fractional_positions": [[0.2500, 0.2500, 0.2500], [0.7500, 0.7500, 0.7500], [0.0000, 0.0000, 0.0000], [0.5000, 0.5000, 0.5000]], "de_polymorph_mev_per_atom": 300}

=====

12.
{"formula": "CaGeOs2", "functional": "PBE", "state": "relaxed", "lattice": [[-2.2353, 2.2353, 8.8751], [2.2353, -2.2353, 8.8751], [2.2353, 2.2353, -8.8751]], "species": ["Ca", "Ca", "Ge", "Ge", "Os", "Os", "Os", "Os"], "fractional_positions": [[0.0000, 0.0000, 0.0000], [0.7500, 0.2500, 0.5000], [0.2500, 0.7500, 0.5000], [0.5000, 0.5000, 0.0000], [0.2727, 0.6250, 0.1477], [0.3750, 0.5227, 0.6477], [0.4773, 0.1250, 0.8523], [0.8750, 0.7273, 0.3523]], "delta_e_f_mev_per_atom": 486.6}

=====

13.
{"formula": "Ca3CoH6", "functional": "PBE", "state": "relaxed", "lattice": [[4.3919, -5.5976, 0.0000], [4.3919, 5.5976, 0.0000], [0.0000, 0.0000, 5.0891]], "species": ["Ca", "Ca", "Ca", "Ca", "Ca", "Ca", "Co", "Co", "H", "H", "H", "H", "H", "H", "H", "H", "H", "H", "H", "H"], "fractional_positions": [[0.1111, 0.8889, 0.5000], [0.1947, 0.4202, 0.4778], [0.4202, 0.1947, 0.9778], [0.5798, 0.8053, 0.4778], [0.8053, 0.5798, 0.9778], [0.8889, 0.1111, 0.0000], [0.3010, 0.6990, 0.9376], [0.6990, 0.3010, 0.4376], [0.1031, 0.6219, 0.7754], [0.1510, 0.1627, 0.7354], [0.1627, 0.1510, 0.2354], [0.2852, 0.7148, 0.2540], [0.3781, 0.8969, 0.7754], [0.4358, 0.5642, 0.8126], [0.5642, 0.4358, 0.3126], [0.6219, 0.1031, 0.2754], [0.7148, 0.2852, 0.7540], [0.8373, 0.8490, 0.7354], [0.8490, 0.8373, 0.2354], [0.8969, 0.3781, 0.2754]], "final_energy_ev_per_atom": -3.729}

=====

14.
{"formula": "LaBC", "functional": "PBE", "state": "relaxed", "lattice": [[-2.0222, 2.0222, 3.4375], [2.0222, -2.0222, 3.4375], [2.0222, 2.0222, -3.4375]], "species": ["La", "B", "C"], "fractional_positions": [[0.0000, 0.0000, 0.0000], [0.4143, 0.4143, 0.0000], [0.6174, 0.6174, 0.0000]], "de_polymorph_mev_per_atom": 523, "delta_e_f_mev_per_atom": 144.6}

=====

15.
{"formula": "Dy2ErSc6", "functional": "PBE", "state": "relaxed", "lattice": [[5.7817, -6.8683, 0.0000], [5.7817, 6.8683, 0.0000], [-0.8795, 0.0000, 3.0779]], "species": ["Dy", "Dy", "Er", "Sc", "Sc", "Sc", "Sc", "Sc", "Sc"], "fractional_positions": [[0.2196, 0.2196, 0.2174], [0.7804, 0.7804, 0.7826], [0.5000, 0.5000, 0.0000], [0.1090, 0.8910, 0.5000], [0.1577, 0.5605, 0.3586], [0.4395, 0.8423, 0.6414], [0.5605, 0.1577, 0.3586], [0.8423, 0.4395, 0.6414], [0.8910, 0.1090, 0.5000]], "de_polymorph_mev_per_atom": 172, "delta_e_f_mev_per_atom": 247.6}

=====

16.
{"formula": "SnBRh3", "functional": "PBE", "state": "relaxed", "lattice": [[2.7200, -6.8105, 0.0000], [2.7200, 6.8105, 0.0000], [0.0000, 0.0000, 4.8940]], "species": ["Sn", "Sn", "B", "B", "Rh", "Rh", "Rh", "Rh", "Rh", "Rh"], "fractional_positions": [[0.1770, 0.8230, 0.7500], [0.8230, 0.1770, 0.2500], [0.4383, 0.5617, 0.7500], [0.5617, 0.4383, 0.2500], [0.0000, 0.0000, 0.0000], [0.0000, 0.0000, 0.5000], [0.0836, 0.3999, 0.7500], [0.3999, 0.0836, 0.2500], [0.6001, 0.9164, 0.7500], [0.9164, 0.6001, 0.2500]], "delta_e_f_mev_per_atom": 321.3}

=====

17.
{"formula": "CeNdGa", "functional": "PBE", "state": "relaxed", "lattice": [[4.9182, 0.0000, 0.0000], [-2.4591, 4.2592, 0.0000], [0.0000, 0.0000, 3.7308]], "species": ["Ce", "Nd", "Ga"], "fractional_positions": [[0.0000, 0.0000, 0.0000], [0.6667, 0.3333, 0.6260], [0.3333, 0.6667, 0.3240]], "de_polymorph_mev_per_atom": 175, "delta_e_f_mev_per_atom": -216.0}

=====

18.
{"formula": "PmPuPI", "functional": "PBE", "state": "relaxed", "lattice": [[2.0427, 1.1794, 7.7308], [-2.0427, 1.1794, 7.7308], [0.0000, -2.3588, 7.7308]], "species": ["Pm", "Pu", "P", "I"], "fractional_positions": [[0.0000, 0.0000, 0.0000], [0.7980, 0.7980, 0.7980], [0.4014, 0.4014, 0.4014], [0.2306, 0.2306, 0.2306]], "final_energy_ev_per_atom": -7.667}

=====

19.
{"formula": "La2Nd4Tl", "functional": "PBE", "state": "relaxed", "lattice": [[5.9197, 0.0000, 0.0000], [0.0000, 6.8591, 0.0000], [-2.7887, 0.0000, 11.6714]], "species": ["La", "La", "La", "La", "Nd", "Nd", "Nd", "Nd", "Nd", "Nd", "Nd", "Nd", "Tl", "Tl"], "fractional_positions": [[0.0120, 0.2500, 0.4772], [0.3496, 0.7500, 0.0730], [0.6504, 0.2500, 0.9270], [0.9880, 0.7500, 0.5228], [0.1482, 0.0059, 0.7812], [0.1482, 0.4941, 0.7812], [0.2074, 0.2500, 0.0640], [0.4173, 0.7500, 0.3775], [0.5827, 0.2500, 0.6225], [0.7926, 0.7500, 0.9360], [0.8518, 0.5059, 0.2188], [0.8518, 0.9941, 0.2188], [0.4410, 0.2500, 0.3344], [0.5590, 0.7500, 0.6656]], "de_polymorph_mev_per_atom": 0, "delta_e_f_mev_per_atom": -40.6}

=====

20.
{"formula": "SrTa3As", "functional": "PBE", "state": "relaxed", "lattice": [[4.9197, 0.0000, 0.0000], [0.0000, 4.9197, 0.0000], [0.0000, 0.0000, 4.9197]], "species": ["Sr", "Ta", "Ta", "Ta", "As"], "fractional_positions": [[0.0000, 0.0000, 0.0000], [0.0000, 0.5000, 0.5000], [0.5000, 0.0000, 0.5000], [0.5000, 0.5000, 0.0000], [0.5000, 0.5000, 0.5000]], "de_polymorph_mev_per_atom": 0, "delta_e_f_mev_per_atom": 865.3}

=====

21.
{"formula": "TaGa2Os2", "functional": "PBE", "state": "relaxed", "lattice": [[7.1310, 0.0000, 0.0000], [0.0000, 7.1310, 0.0000], [0.0000, 0.0000, 3.0795]], "species": ["Ta", "Ta", "Ga", "Ga", "Ga", "Ga", "Os", "Os", "Os", "Os"], "fractional_positions": [[0.0000, 0.0000, 0.0000], [0.5000, 0.5000, 0.0000], [0.1584, 0.3416, 0.5000], [0.3416, 0.8416, 0.5000], [0.6584, 0.1584, 0.5000], [0.8416, 0.6584, 0.5000], [0.1404, 0.6404, 0.0000], [0.3596, 0.1404, 0.0000], [0.6404, 0.8596, 0.0000], [0.8596, 0.3596, 0.0000]], "de_polymorph_mev_per_atom": 40, "delta_e_f_mev_per_atom": 88.8}

=====

22.
{"formula": "K5HgSb2", "functional": "PBE", "state": "relaxed", "lattice": [[3.0320, 1.7505, 10.1723], [-3.0320, 1.7505, 10.1723], [0.0000, -3.5010, 10.1723]], "species": ["K", "K", "K", "K", "K", "Hg", "Sb", "Sb"], "fractional_positions": [[0.0000, 0.0000, 0.0000], [0.1260, 0.1260, 0.1260], [0.2805, 0.2805, 0.2805], [0.7195, 0.7195, 0.7195], [0.8740, 0.8740, 0.8740], [0.5000, 0.5000, 0.5000], [0.4072, 0.4072, 0.4072], [0.5928, 0.5928, 0.5928]], "final_energy_ev_per_atom": -2.110}

=====

23.
{"formula": "InAg2I", "functional": "PBE", "state": "relaxed", "lattice": [[4.8879, 0.0000, 0.0000], [0.0000, 7.1508, 0.0000], [-4.8852, 0.0000, 6.8454]], "species": ["In", "In", "Ag", "Ag", "Ag", "Ag", "I", "I"], "fractional_positions": [[0.0000, 0.0798, 0.0000], [0.0000, 0.9202, 0.5000], [0.4177, 0.1247, 0.4177], [0.4177, 0.8753, 0.9177], [0.6938, 0.1896, 0.1938], [0.6938, 0.8104, 0.6938], [0.7321, 0.4089, 0.7156], [0.7321, 0.5911, 0.2156]], "de_polymorph_mev_per_atom": 6}

=====

24.
{"formula": "Na3Tb3BiO8", "functional": "PBE", "state": "relaxed", "lattice": [[3.4607, 1.9980, 5.6356], [-3.4607, 1.9980, 5.6356], [0.0000, -3.9960, 5.6356]], "species": ["Na", "Na", "Na", "Tb", "Tb", "Tb", "Bi", "O", "O", "O", "O", "O", "O", "O", "O"], "fractional_positions": [[0.0000, 0.5000, 0.5000], [0.5000, 0.0000, 0.5000], [0.5000, 0.5000, 0.0000], [0.0000, 0.0000, 0.5000], [0.0000, 0.5000, 0.0000], [0.5000, 0.0000, 0.0000], [0.5000, 0.5000, 0.5000], [0.2352, 0.2352, 0.2352], [0.2437, 0.7315, 0.7315], [0.2685, 0.2685, 0.7563], [0.2685, 0.7563, 0.2685], [0.7315, 0.2437, 0.7315], [0.7315, 0.7315, 0.2437], [0.7563, 0.2685, 0.2685], [0.7648, 0.7648, 0.7648]], "final_energy_ev_per_atom": -6.497}

=====

The following total magnetization values (in μB per formula unit) correspond, in order, to the records above: 0.3 1.3 0.0 0.0 0.8 0.0 14.4 0.0 0.4 16.0 0.0 0.0 1.0 0.0 1.9 0.0 0.7 5.6 0.0 0.0 0.0 0.0 0.0 0.0.